# 1
LuTaCoAu | GGA-PBE | relaxed

Summary:
V   67 Å³/f.u.
Energy of formation from the pure elements   0.065 eV per atom

```
data_LuTaCoAu
_chemical_formula_sum 'Lu4 Ta4 Co4 Au4'
_symmetry_space_group_name_H-M 'F -4 3 m'
_symmetry_Int_Tables_number 216
_symmetry_space_group_name_Hall 'F -4 2 3'
_cell_length_a 6.459
_cell_length_b 6.459
_cell_length_c 6.459
_cell_angle_alpha 90.00
_cell_angle_beta 90.00
_cell_angle_gamma 90.00
loop_
_atom_site_label
_atom_site_type_symbol
_atom_site_fract_x
_atom_site_fract_y
_atom_site_fract_z
_atom_site_occupancy
Lu1 Lu 0.000 0.000 0.000 1
Ta1 Ta 0.250 0.250 0.250 1
Co1 Co 0.000 0.000 0.500 1
Au1 Au 0.250 0.250 0.750 1
```

# 2
Hf4NiBiN2 | GGA-PBE | relaxed

Summary:
V   128 Å³/f.u.
E   -9.1189 eV per atom

```
data_Hf4NiBiN2
_chemical_formula_sum 'Hf4 Ni1 Bi1 N2'
_symmetry_space_group_name_H-M 'P -6 m 2'
_symmetry_Int_Tables_number 187
_symmetry_space_group_name_Hall 'P -6 2'
_cell_length_a 3.2741
_cell_length_b 3.2741
_cell_length_c 13.7706
_cell_angle_alpha 90.00
_cell_angle_beta 90.00
_cell_angle_gamma 120.00
loop_
_atom_site_label
_atom_site_type_symbol
_atom_site_fract_x
_atom_site_fract_y
_atom_site_fract_z
_atom_site_occupancy
Hf1 Hf 0.0000 0.0000 0.1377 1
Hf2 Hf 0.3333 0.6667 0.3213 1
Ni1 Ni 0.3333 0.6667 0.0000 1
Bi1 Bi 0.0000 0.0000 0.5000 1
N1 N 0.6667 0.3333 0.2296 1
```

Among the records above, which one has the highest V?
Hf4NiBiN2

Which formula does entry 2 have?
Hf4NiBiN2

Copy entry 2 word for word.
Hf4NiBiN2 | GGA-PBE | relaxed

Summary:
V   128 Å³/f.u.
E   -9.1189 eV per atom

```
data_Hf4NiBiN2
_chemical_formula_sum 'Hf4 Ni1 Bi1 N2'
_symmetry_space_group_name_H-M 'P -6 m 2'
_symmetry_Int_Tables_number 187
_symmetry_space_group_name_Hall 'P -6 2'
_cell_length_a 3.2741
_cell_length_b 3.2741
_cell_length_c 13.7706
_cell_angle_alpha 90.00
_cell_angle_beta 90.00
_cell_angle_gamma 120.00
loop_
_atom_site_label
_atom_site_type_symbol
_atom_site_fract_x
_atom_site_fract_y
_atom_site_fract_z
_atom_site_occupancy
Hf1 Hf 0.0000 0.0000 0.1377 1
Hf2 Hf 0.3333 0.6667 0.3213 1
Ni1 Ni 0.3333 0.6667 0.0000 1
Bi1 Bi 0.0000 0.0000 0.5000 1
N1 N 0.6667 0.3333 0.2296 1
```